1.
Here is a relaxed Sr2HoScS4 crystal from Alexandria via LeMat-Bulk. Energies are from PBE-GGA.

abc: 6.869 3.978 7.081
angles: 90.00 108.96 90.00
Space group P2/m (No. 10)
Asymmetric unit:
1 Sr 0.000 0.000 0.000
2 Sr 0.500 0.500 0.000
3 Ho 0.000 0.500 0.500
4 Sc 0.500 0.000 0.500
5 S 0.247 0.000 0.724
6 S 0.266 0.500 0.280

## Properties
ΔE_f (raw), eV/atom: -1.98

***

2.
Here is a relaxed Ag2PtAu crystal from Alexandria via LeMat-Bulk. Energies are from PBE-GGA.

abc: 2.8691 2.8691 28.8049
angles: 90.00 90.00 120.00
Space group R-3m (No. 166, hexagonal axes)
Asymmetric unit:
1 Ag 0.0000 0.0000 0.2482
2 Pt 0.0000 0.0000 0.5000
3 Au 0.0000 0.0000 0.0000

## Properties
Offset from the most stable computed form, kcal/mol of atoms: 0.00

***

3.
Here is a relaxed SbPbS2 crystal from Alexandria via LeMat-Bulk. Energies are from PBE-GGA.

abc: 3.8425 3.8425 26.6696
angles: 90.00 90.00 120.00
Space group R-3m (No. 166, hexagonal axes)
Asymmetric unit:
1 Sb 0.0000 0.0000 0.0000
2 Pb 0.0000 0.0000 0.5000
3 S 0.0000 0.0000 0.3927

## Properties
ΔE_f (raw), eV/atom: -0.17

***

4.
Here is a relaxed LaTcHg2 crystal from Alexandria via LeMat-Bulk. Energies are from PBE-GGA.

abc: 4.354 4.354 9.460
angles: 90.00 90.00 90.00
Space group I4/mmm (No. 139)
Asymmetric unit:
1 La 0.000 0.000 0.000
2 Tc 0.000 0.000 0.500
3 Hg 0.000 0.500 0.250

## Properties
Offset from the most stable computed form, kcal/mol of atoms: 0.00

***

5.
Here is a relaxed BeNb2Sn crystal from Alexandria via LeMat-Bulk. Energies are from PBE-GGA.

abc: 3.3521 3.3521 21.7230
angles: 90.00 90.00 120.00
Space group R-3m (No. 166, hexagonal axes)
Asymmetric unit:
1 Be 0.0000 0.0000 0.0000
2 Nb 0.0000 0.0000 0.2719
3 Sn 0.0000 0.0000 0.5000

## Properties
Offset from the most stable computed form, kcal/mol of atoms: 0.00

***

6.
Here is a relaxed TiSnP2O8 crystal from Alexandria via LeMat-Bulk. Energies are from PBE-GGA.

abc: 5.065 6.347 10.831
angles: 90.00 102.31 90.00
Space group P2_1/m (No. 11)
Asymmetric unit:
1 Ti 0.157 0.250 0.202
2 Sn 0.287 0.250 0.692
3 P 0.109 0.750 0.101
4 P 0.188 0.750 0.629
5 O 0.055 0.569 0.696
6 O 0.086 0.750 0.954
7 O 0.125 0.750 0.488
8 O 0.176 0.250 0.873
9 O 0.273 0.549 0.157
10 O 0.499 0.750 0.682

## Properties
ΔE_f (raw), eV/atom: -2.25
Offset from the most stable computed form, kcal/mol of atoms: 0.00